Entry 1:
Here is HfTl2Fe at its PBEsol-relaxed geometry from Alexandria via LeMat-Bulk. Energies are from SCAN.

The structure in CIF format:
```
data_HfTl2Fe
_symmetry_space_group_name_H-M 'F m -3 m'
_symmetry_Int_Tables_number 225
_symmetry_space_group_name_Hall '-F 4 2 3'
_cell_length_a 6.745
_cell_length_b 6.745
_cell_length_c 6.745
_cell_angle_alpha 90.00
_cell_angle_beta 90.00
_cell_angle_gamma 90.00
loop_
_atom_site_label
_atom_site_fract_x
_atom_site_fract_y
_atom_site_fract_z
Hf1 0.000 0.000 0.000
Tl1 0.250 0.250 0.250
Fe1 0.000 0.000 0.500
```

Values from the calculation:
Formation energy in eV per atom: 0.397
V in Å³ per atom: 19.17

***

Entry 2:
Here is YHf2Fe2 at its PBEsol-relaxed geometry from Alexandria via LeMat-Bulk. Energies are from SCAN.

The structure in CIF format:
```
data_YHf2Fe2
_symmetry_space_group_name_H-M 'I 4/m m m'
_symmetry_Int_Tables_number 139
_symmetry_space_group_name_Hall '-I 4 2'
_cell_length_a 4.195
_cell_length_b 4.195
_cell_length_c 10.511
_cell_angle_alpha 90.00
_cell_angle_beta 90.00
_cell_angle_gamma 90.00
loop_
_atom_site_label
_atom_site_fract_x
_atom_site_fract_y
_atom_site_fract_z
Y1 0.000 0.000 0.000
Hf1 0.000 0.500 0.250
Fe1 0.000 0.000 0.397
```

Values from the calculation:
Formation energy in eV per atom: 0.050
V in Å³ per atom: 18.50

***

Entry 3:
Here is Fe2Hg3 at its PBEsol-relaxed geometry from Alexandria via LeMat-Bulk. Energies are from SCAN.

The structure in CIF format:
```
data_Fe2Hg3
_symmetry_space_group_name_H-M 'R -3 m'
_symmetry_Int_Tables_number 166
_symmetry_space_group_name_Hall '-R 3 2"'
_cell_length_a 4.1564
_cell_length_b 4.1564
_cell_length_c 17.9612
_cell_angle_alpha 90.00
_cell_angle_beta 90.00
_cell_angle_gamma 120.00
loop_
_atom_site_label
_atom_site_fract_x
_atom_site_fract_y
_atom_site_fract_z
Fe1 0.0000 0.0000 0.1659
Hg1 0.0000 0.0000 0.0000
Hg2 0.0000 0.0000 0.4194
```

Values from the calculation:
Formation energy in eV per atom: 0.423
V in Å³ per atom: 17.91

***

Entry 4:
Here is Fe3Hg at its PBEsol-relaxed geometry from Alexandria via LeMat-Bulk. Energies are from SCAN.

The structure in CIF format:
```
data_Fe3Hg
_symmetry_space_group_name_H-M 'P 4/m m m'
_symmetry_Int_Tables_number 123
_symmetry_space_group_name_Hall '-P 4 2'
_cell_length_a 2.973
_cell_length_b 2.973
_cell_length_c 6.036
_cell_angle_alpha 90.00
_cell_angle_beta 90.00
_cell_angle_gamma 90.00
loop_
_atom_site_label
_atom_site_fract_x
_atom_site_fract_y
_atom_site_fract_z
Fe1 0.000 0.000 0.000
Fe2 0.500 0.500 0.207
Hg1 0.000 0.000 0.500
```

Values from the calculation:
Formation energy in eV per atom: 0.168
V in Å³ per atom: 13.33

***

Entry 5:
Here is Fe2Hg at its PBEsol-relaxed geometry from Alexandria via LeMat-Bulk. Energies are from SCAN.

The structure in CIF format:
```
data_Fe2Hg
_symmetry_space_group_name_H-M 'P 6/m m m'
_symmetry_Int_Tables_number 191
_symmetry_space_group_name_Hall '-P 6 2'
_cell_length_a 4.2483
_cell_length_b 4.2483
_cell_length_c 2.6989
_cell_angle_alpha 90.00
_cell_angle_beta 90.00
_cell_angle_gamma 120.00
loop_
_atom_site_label
_atom_site_fract_x
_atom_site_fract_y
_atom_site_fract_z
Fe1 0.3333 0.6667 0.0000
Hg1 0.0000 0.0000 0.5000
```

Values from the calculation:
Formation energy in eV per atom: 0.316
V in Å³ per atom: 14.06

***

Entry 6:
Here is Fe3Hg at its PBEsol-relaxed geometry from Alexandria via LeMat-Bulk. Energies are from SCAN.

The structure in CIF format:
```
data_Fe3Hg
_symmetry_space_group_name_H-M 'F m -3 m'
_symmetry_Int_Tables_number 225
_symmetry_space_group_name_Hall '-F 4 2 3'
_cell_length_a 5.977
_cell_length_b 5.977
_cell_length_c 5.977
_cell_angle_alpha 90.00
_cell_angle_beta 90.00
_cell_angle_gamma 90.00
loop_
_atom_site_label
_atom_site_fract_x
_atom_site_fract_y
_atom_site_fract_z
Fe1 0.000 0.000 0.000
Fe2 0.250 0.250 0.250
Hg1 0.000 0.000 0.500
```

Values from the calculation:
Formation energy in eV per atom: 0.259
V in Å³ per atom: 13.34

***

Entry 7:
Here is FeHg2I at its PBEsol-relaxed geometry from Alexandria via LeMat-Bulk. Energies are from SCAN.

The structure in CIF format:
```
data_FeHg2I
_symmetry_space_group_name_H-M 'F m -3 m'
_symmetry_Int_Tables_number 225
_symmetry_space_group_name_Hall '-F 4 2 3'
_cell_length_a 7.300
_cell_length_b 7.300
_cell_length_c 7.300
_cell_angle_alpha 90.00
_cell_angle_beta 90.00
_cell_angle_gamma 90.00
loop_
_atom_site_label
_atom_site_fract_x
_atom_site_fract_y
_atom_site_fract_z
Fe1 0.000 0.000 0.000
Hg1 0.250 0.250 0.250
I1 0.000 0.000 0.500
```

Values from the calculation:
V in Å³ per atom: 24.31
E_form (uncorrected) in eV/atom: 0.79

***

Entry 8:
Here is FeHgI3 at its PBEsol-relaxed geometry from Alexandria via LeMat-Bulk. Energies are from SCAN.

The structure in CIF format:
```
data_FeHgI3
_symmetry_space_group_name_H-M 'P m -3 m'
_symmetry_Int_Tables_number 221
_symmetry_space_group_name_Hall '-P 4 2 3'
_cell_length_a 5.348
_cell_length_b 5.348
_cell_length_c 5.348
_cell_angle_alpha 90.00
_cell_angle_beta 90.00
_cell_angle_gamma 90.00
loop_
_atom_site_label
_atom_site_fract_x
_atom_site_fract_y
_atom_site_fract_z
Fe1 0.000 0.000 0.000
Hg1 0.500 0.500 0.500
I1 0.000 0.000 0.500
```

Values from the calculation:
V in Å³ per atom: 30.60
E_form (uncorrected) in eV/atom: 0.08

***

Entry 9:
Here is FeHgSbI2 at its PBEsol-relaxed geometry from Alexandria via LeMat-Bulk. Energies are from SCAN.

The structure in CIF format:
```
data_FeHgSbI2
_symmetry_space_group_name_H-M 'P 4/m m m'
_symmetry_Int_Tables_number 123
_symmetry_space_group_name_Hall '-P 4 2'
_cell_length_a 5.714
_cell_length_b 5.714
_cell_length_c 5.555
_cell_angle_alpha 90.00
_cell_angle_beta 90.00
_cell_angle_gamma 90.00
loop_
_atom_site_label
_atom_site_fract_x
_atom_site_fract_y
_atom_site_fract_z
Fe1 0.000 0.000 0.000
Hg1 0.500 0.500 0.500
Sb1 0.500 0.500 0.000
I1 0.000 0.500 0.500
```

Values from the calculation:
V in Å³ per atom: 36.27
E_form (uncorrected) in eV/atom: 0.95

***

Entry 10:
Here is FeHgTeI2 at its PBEsol-relaxed geometry from Alexandria via LeMat-Bulk. Energies are from SCAN.

The structure in CIF format:
```
data_FeHgTeI2
_symmetry_space_group_name_H-M 'P 4/m m m'
_symmetry_Int_Tables_number 123
_symmetry_space_group_name_Hall '-P 4 2'
_cell_length_a 5.350
_cell_length_b 5.350
_cell_length_c 5.089
_cell_angle_alpha 90.00
_cell_angle_beta 90.00
_cell_angle_gamma 90.00
loop_
_atom_site_label
_atom_site_fract_x
_atom_site_fract_y
_atom_site_fract_z
Fe1 0.000 0.000 0.000
Hg1 0.500 0.500 0.500
Te1 0.000 0.000 0.500
I1 0.000 0.500 0.000
```

Values from the calculation:
Energy above the most stable polymorph in this dataset in meV per atom: 0.0
V in Å³ per atom: 29.13
E_form (uncorrected) in eV/atom: 0.22

***

Entry 11:
Here is InFeHg2 at its PBEsol-relaxed geometry from Alexandria via LeMat-Bulk. Energies are from SCAN.

The structure in CIF format:
```
data_InFeHg2
_symmetry_space_group_name_H-M 'P 4 m m'
_symmetry_Int_Tables_number 99
_cell_length_a 2.981
_cell_length_b 2.981
_cell_length_c 8.692
_cell_angle_alpha 90.00
_cell_angle_beta 90.00
_cell_angle_gamma 90.00
loop_
_symmetry_equiv_pos_as_xyz
'x,y,z'
'-y,x,z'
'-x,-y,z'
'y,-x,z'
'-x,y,z'
'y,x,z'
'x,-y,z'
'-y,-x,z'
loop_
_atom_site_label
_atom_site_fract_x
_atom_site_fract_y
_atom_site_fract_z
In1 0.000 0.000 0.000
Fe1 0.500 0.500 0.209
Hg1 0.000 0.000 0.418
Hg2 0.500 0.500 0.706
```

Values from the calculation:
Formation energy in eV per atom: 0.253
V in Å³ per atom: 19.31

***

Entry 12:
Here is InFeHg2 at its PBEsol-relaxed geometry from Alexandria via LeMat-Bulk. Energies are from SCAN.

The structure in CIF format:
```
data_InFeHg2
_symmetry_space_group_name_H-M 'P 4/m m m'
_symmetry_Int_Tables_number 123
_symmetry_space_group_name_Hall '-P 4 2'
_cell_length_a 4.228
_cell_length_b 4.228
_cell_length_c 4.247
_cell_angle_alpha 90.00
_cell_angle_beta 90.00
_cell_angle_gamma 90.00
loop_
_atom_site_label
_atom_site_fract_x
_atom_site_fract_y
_atom_site_fract_z
In1 0.000 0.000 0.000
Fe1 0.500 0.500 0.000
Hg1 0.000 0.500 0.500
```

Values from the calculation:
Formation energy in eV per atom: 0.324
V in Å³ per atom: 18.98

***

Entry 13:
Here is InFeHg2 at its PBEsol-relaxed geometry from Alexandria via LeMat-Bulk. Energies are from SCAN.

The structure in CIF format:
```
data_InFeHg2
_symmetry_space_group_name_H-M 'C 1 2/m 1'
_symmetry_Int_Tables_number 12
_cell_length_a 5.718
_cell_length_b 10.233
_cell_length_c 3.082
_cell_angle_alpha 90.00
_cell_angle_beta 119.46
_cell_angle_gamma 90.00
loop_
_symmetry_equiv_pos_as_xyz
'x,y,z'
'-x,-y,-z'
'-x,y,-z'
'x,-y,z'
'x+1/2,y+1/2,z'
'-x+1/2,-y+1/2,-z'
'-x+1/2,y+1/2,-z'
'x+1/2,-y+1/2,z'
loop_
_atom_site_label
_atom_site_fract_x
_atom_site_fract_y
_atom_site_fract_z
In1 0.000 0.000 0.000
Fe1 0.000 0.500 0.000
Hg1 0.250 0.250 0.000
```

Values from the calculation:
Formation energy in eV per atom: 0.320
V in Å³ per atom: 19.63

***

Entry 14:
Here is InFeHg2 at its PBEsol-relaxed geometry from Alexandria via LeMat-Bulk. Energies are from SCAN.

The structure in CIF format:
```
data_InFeHg2
_symmetry_space_group_name_H-M 'C 1 m 1'
_symmetry_Int_Tables_number 8
_cell_length_a 13.301
_cell_length_b 2.870
_cell_length_c 4.541
_cell_angle_alpha 90.00
_cell_angle_beta 109.83
_cell_angle_gamma 90.00
loop_
_symmetry_equiv_pos_as_xyz
'x,y,z'
'x,-y,z'
'x+1/2,y+1/2,z'
'x+1/2,-y+1/2,z'
loop_
_atom_site_label
_atom_site_fract_x
_atom_site_fract_y
_atom_site_fract_z
In1 0.000 0.000 0.000
Fe1 0.185 0.500 0.185
Hg1 0.183 0.000 0.683
Hg2 0.370 0.000 0.371
```

Values from the calculation:
Formation energy in eV per atom: 0.188
V in Å³ per atom: 20.38

***

Entry 15:
Here is KInFe2Hg at its PBEsol-relaxed geometry from Alexandria via LeMat-Bulk. Energies are from SCAN.

The structure in CIF format:
```
data_KInFe2Hg
_symmetry_space_group_name_H-M 'P 4/m m m'
_symmetry_Int_Tables_number 123
_symmetry_space_group_name_Hall '-P 4 2'
_cell_length_a 4.616
_cell_length_b 4.616
_cell_length_c 5.633
_cell_angle_alpha 90.00
_cell_angle_beta 90.00
_cell_angle_gamma 90.00
loop_
_atom_site_label
_atom_site_fract_x
_atom_site_fract_y
_atom_site_fract_z
K1 0.000 0.000 0.000
In1 0.000 0.000 0.500
Fe1 0.000 0.500 0.000
Hg1 0.500 0.500 0.500
```

Values from the calculation:
Formation energy in eV per atom: 1.924
V in Å³ per atom: 24.00